VASP calculation (PBE) on a geometry-optimized KCd5 structure.

Output
Formation enthalpy at 0 K   -69 meV per atom
Mass density   6.05 g/cm³

Lattice parameters (Å, degrees): 6.2720 6.2720 4.8426 90.00 90.00 120.00
Space group P6/mmm (No. 191)
Inequivalent atoms, fractional coordinates:
1 K 0.0000 0.0000 0.0000 x1
2 Cd 0.0000 0.5000 0.5000 x3
3 Cd 0.3333 0.6667 0.0000 x2

VASP calculation (PBE) on a geometry-optimized TaMnBe2 structure.

Output
Formation enthalpy at 0 K   111 meV per atom
Mass density   8.97 g/cm³

Lattice parameters (Å, degrees): 5.728 5.728 5.728 90.00 90.00 90.00
Space group F-43m (No. 216)
Inequivalent atoms, fractional coordinates:
1 Ta 0.000 0.000 0.000 x4
2 Mn 0.250 0.250 0.750 x4
3 Be 0.000 0.000 0.500 x4
4 Be 0.250 0.250 0.250 x4

Q: Which energy values were calculated for the entries above? A: -1.01; -7.01, in eV per atom.